[1]
A plane-wave DFT calculation with PBE-GGA was carried out for an optimized crystal structure of Pm3TlPt.

The structure in CIF format:
```
data_Pm3TlPt
_chemical_formula_sum 'Pm12 Tl4 Pt4'
_symmetry_space_group_name_H-M 'C m c m'
_symmetry_Int_Tables_number 63
_symmetry_space_group_name_Hall '-C 2c 2'
_cell_length_a 3.857
_cell_length_b 16.006
_cell_length_c 10.226
_cell_angle_alpha 90.00
_cell_angle_beta 90.00
_cell_angle_gamma 90.00
loop_
_atom_site_label
_atom_site_fract_x
_atom_site_fract_y
_atom_site_fract_z
Pm1 0.000 0.123 0.250
Pm2 0.000 0.340 0.072
Tl1 0.000 0.000 0.000
Pt1 0.000 0.245 0.750
```

Calculated values
E_form: -0.513 eV per atom
DOS at the Fermi energy: 1.3272 states/eV/atom
E: -5.045 eV per atom
Density: 8780 kg/m3
Volume: 31.6 Å³ per atom

***

[2]
A plane-wave DFT calculation with PBE-GGA was carried out for an optimized crystal structure of Pm5Tl4Pt.

The structure in CIF format:
```
data_Pm5Tl4Pt
_chemical_formula_sum 'Pm10 Tl8 Pt2'
_symmetry_space_group_name_H-M 'I 4'
_symmetry_Int_Tables_number 79
_cell_length_a 10.166
_cell_length_b 10.166
_cell_length_c 6.013
_cell_angle_alpha 90.00
_cell_angle_beta 90.00
_cell_angle_gamma 90.00
loop_
_symmetry_equiv_pos_as_xyz
'x,y,z'
'-y,x,z'
'-x,-y,z'
'y,-x,z'
'x+1/2,y+1/2,z+1/2'
'-y+1/2,x+1/2,z+1/2'
'-x+1/2,-y+1/2,z+1/2'
'y+1/2,-x+1/2,z+1/2'
loop_
_atom_site_label
_atom_site_fract_x
_atom_site_fract_y
_atom_site_fract_z
Pm1 0.000 0.000 0.000
Pm2 0.125 0.244 0.504
Tl1 0.060 0.345 0.004
Pt1 0.000 0.000 0.499
```

Calculated values
E_form: -0.341 eV per atom
DOS at the Fermi energy: 1.2023 states/eV/atom
E: -4.267 eV per atom
Density: 9286 kg/m3
Volume: 31.1 Å³ per atom